Record 1
Density functional theory data (GGA-PBE) for a relaxed structure of LiY7.

Cell: 9.9923 9.9923 9.9923 Å, 90.00 90.00 90.00°
Space group Fm-3m (No. 225)
Inequivalent atoms, fractional coordinates:
Li  0.0000  0.0000  0.0000 (multiplicity 4)
Y  0.0000  0.0000  0.5000 (multiplicity 4)
Y  0.0000  0.2500  0.2500 (multiplicity 24)

density of states at the Fermi level: 1.359 states/eV/atom
final energy: -5.800 eV/atom
ΔH_f (0 K): 96 meV/atom

Record 2
Density functional theory data (GGA-PBE) for a relaxed structure of LiY3.

Cell: 3.6301 5.6239 5.8719 Å, 90.00 90.00 90.00°
Space group Pmm2 (No. 25)
Inequivalent atoms, fractional coordinates:
Li  0.0000  0.0000  0.0000 (multiplicity 1)
Y  0.0000  0.5000  0.3665 (multiplicity 1)
Y  0.5000  0.0000  0.4953 (multiplicity 1)
Y  0.5000  0.5000  0.8668 (multiplicity 1)

density of states at the Fermi level: 1.507 states/eV/atom
final energy: -5.177 eV/atom
ΔH_f (0 K): 150 meV/atom
relative energy among the computed polymorphs: 0.36 eV per formula unit